This record from the Alexandria database describes a relaxed CoIr3Os crystal. The functional is PBE-GGA.

Properties
V   13.8 A^3/atom
Crystal system   monoclinic
Energy above the lowest structure with this stoichiometry   0 meV/atom
SG   P2_1/m
ΔH_f (0 K)   0.039 eV/atom
DOS(E_F)   10.526 states/eV per cell

a = 6.0058 Å, b = 3.8118 Å, c = 6.0469 Å
α = 90.00°, β = 90.07°, γ = 90.00°
Last column: nearest neighbours and their distance in Å.
Element x y z (fractional)
Co 0.0537 0.2500 0.3525  9 Ir 2.65-2.75, 1 Os 2.69, 2 Co 2.69
Co 0.9463 0.7500 0.6475  9 Ir 2.65-2.75, 1 Os 2.69, 2 Co 2.69
Ir 0.1520 0.7500 0.0535  6 Ir 2.67-2.72, 3 Os 2.68, 3 Co 2.69-2.75
Ir 0.2467 0.2500 0.7503  3 Co 2.67-2.70, 6 Ir 2.67-2.75, 3 Os 2.70
Ir 0.3438 0.7500 0.4519  3 Co 2.65-2.67, 6 Ir 2.67-2.75, 3 Os 2.72-2.73
Ir 0.6562 0.2500 0.5481  3 Co 2.65-2.67, 6 Ir 2.67-2.75, 3 Os 2.72-2.73
Ir 0.7533 0.7500 0.2497  3 Co 2.67-2.70, 6 Ir 2.67-2.75, 3 Os 2.70
Ir 0.8480 0.2500 0.9465  6 Ir 2.67-2.72, 3 Os 2.68, 3 Co 2.69-2.75
Os 0.4507 0.2500 0.1475  2 Os 2.68, 9 Ir 2.68-2.73, 1 Co 2.69
Os 0.5493 0.7500 0.8525  2 Os 2.68, 9 Ir 2.68-2.73, 1 Co 2.69



This record from the Alexandria database describes a relaxed CoIr4Os crystal. The functional is PBE-GGA.

Properties
V   15.5 A^3/atom
Crystal system   cubic
Energy above the lowest structure with this stoichiometry   751 meV/atom
SG   F-43m
ΔH_f (0 K)   0.795 eV/atom
DOS(E_F)   9.797 states/eV per cell

a = 5.0862 Å, b = 5.0862 Å, c = 5.0862 Å
α = 60.00°, β = 60.00°, γ = 60.00°
Last column: nearest neighbours and their distance in Å.
Element x y z (fractional)
Co 0.0000 0.0000 0.0000  12 Ir 2.98, 4 Os 3.11
Ir 0.1244 0.6252 0.6252  6 Ir 2.54-2.55
Ir 0.6252 0.1244 0.6252  6 Ir 2.54-2.55
Ir 0.6252 0.6252 0.1244  6 Ir 2.54-2.55
Ir 0.6252 0.6252 0.6252  6 Ir 2.54-2.55
Os 0.2500 0.2500 0.2500  12 Ir 2.98, 4 Co 3.11



This record from the Alexandria database describes a relaxed Co2IrOs crystal. The functional is PBE-GGA.

Properties
V   18.9 A^3/atom
Crystal system   orthorhombic
Energy above the lowest structure with this stoichiometry   764 meV/atom
SG   Imma
ΔH_f (0 K)   0.824 eV/atom
DOS(E_F)   10.516 states/eV per cell

a = 7.9885 Å, b = 7.9885 Å, c = 7.9885 Å
α = 161.31°, β = 111.19°, γ = 72.02°
Last column: nearest neighbours and their distance in Å.
Element x y z (fractional)
Co 0.2921 0.1744 0.1177  5 Co 2.35-2.59, 1 Os 2.49, 2 Ir 2.61
Co 0.4433 0.8256 0.6177  5 Co 2.35-2.59, 1 Os 2.49, 2 Ir 2.61
Co 0.5567 0.1744 0.3823  5 Co 2.35-2.59, 1 Os 2.49, 2 Ir 2.61
Co 0.7079 0.8256 0.8823  5 Co 2.35-2.59, 1 Os 2.49, 2 Ir 2.61
Ir 0.2758 0.5258 0.7500  2 Ir 2.59, 4 Co 2.61, 4 Os 2.62
Ir 0.7242 0.4742 0.2500  2 Ir 2.59, 4 Co 2.61, 4 Os 2.62
Os 0.0000 0.0000 0.0000  2 Co 2.49, 2 Os 2.59, 4 Ir 2.62
Os 0.5000 0.0000 0.5000  2 Co 2.49, 2 Os 2.59, 4 Ir 2.62



This record from the Alexandria database describes a relaxed Co2IrOs crystal. The functional is PBE-GGA.

Properties
V   13.2 A^3/atom
Crystal system   cubic
Energy above the lowest structure with this stoichiometry   337 meV/atom
SG   F-43m
ΔH_f (0 K)   0.397 eV/atom
DOS(E_F)   6.587 states/eV per cell

a = 4.2081 Å, b = 4.2081 Å, c = 4.2081 Å
α = 60.00°, β = 60.00°, γ = 60.00°
Last column: nearest neighbours and their distance in Å.
Element x y z (fractional)
Co 0.0000 0.0000 0.0000  4 Os 2.58, 4 Co 2.58
Co 0.2500 0.2500 0.2500  4 Co 2.58, 4 Ir 2.58
Ir 0.5000 0.5000 0.5000  4 Co 2.58, 4 Os 2.58
Os 0.7500 0.7500 0.7500  4 Co 2.58, 4 Ir 2.58



This record from the Alexandria database describes a relaxed Co2IrOs crystal. The functional is PBE-GGA.

Properties
V   12.6 A^3/atom
Crystal system   tetragonal
Energy above the lowest structure with this stoichiometry   52 meV/atom
SG   I4/mmm
ΔH_f (0 K)   0.111 eV/atom
DOS(E_F)   4.104 states/eV per cell

a = 4.4741 Å, b = 4.4741 Å, c = 4.4741 Å
α = 130.73°, β = 130.73°, γ = 72.25°
Last column: nearest neighbours and their distance in Å.
Element x y z (fractional)
Co 0.2500 0.7500 0.5000  4 Os 2.60, 4 Ir 2.60, 4 Co 2.64
Co 0.7500 0.2500 0.5000  4 Os 2.60, 4 Ir 2.60, 4 Co 2.64
Ir 0.0000 0.0000 0.0000  8 Co 2.60, 4 Os 2.64
Os 0.5000 0.5000 0.0000  8 Co 2.60, 4 Ir 2.64



This record from the Alexandria database describes a relaxed Co2IrOs crystal. The functional is PBE-GGA.

Properties
V   12.7 A^3/atom
Crystal system   orthorhombic
Energy above the lowest structure with this stoichiometry   205 meV/atom
SG   Imm2
ΔH_f (0 K)   0.264 eV/atom
DOS(E_F)   6.782 states/eV per cell

a = 4.9885 Å, b = 4.9885 Å, c = 4.9885 Å
α = 147.77°, β = 129.36°, γ = 61.31°
Last column: nearest neighbours and their distance in Å.
Element x y z (fractional)
Co 0.0000 0.0000 0.0000  2 Co 2.34, 2 Os 2.54, 4 Ir 2.55
Co 0.7802 0.2802 0.5000  2 Co 2.34, 4 Os 2.56, 2 Ir 2.59
Ir 0.5249 0.5249 0.0000  6 Co 2.55-2.59, 2 Os 2.75, 2 Ir 2.77
Os 0.2483 0.7483 0.5000  6 Co 2.54-2.56, 2 Ir 2.75, 2 Os 2.77



This record from the Alexandria database describes a relaxed Co2IrOs crystal. The functional is PBE-GGA.

Properties
V   12.9 A^3/atom
Crystal system   trigonal
Energy above the lowest structure with this stoichiometry   66 meV/atom
SG   R-3m
ΔH_f (0 K)   0.126 eV/atom
DOS(E_F)   5.671 states/eV per cell

a = 8.5606 Å, b = 8.5606 Å, c = 8.5606 Å
α = 17.89°, β = 17.89°, γ = 17.89°
Last column: nearest neighbours and their distance in Å.
Element x y z (fractional)
Co 0.2494 0.2494 0.2494  3 Os 2.60, 3 Ir 2.62, 6 Co 2.66
Co 0.7506 0.7506 0.7506  3 Os 2.60, 3 Ir 2.62, 6 Co 2.66
Ir 0.0000 0.0000 0.0000  6 Co 2.62, 6 Ir 2.66
Os 0.5000 0.5000 0.5000  6 Co 2.60, 6 Os 2.66



This record from the Alexandria database describes a relaxed Co2Ir7Os2 crystal. The functional is PBE-GGA.

Properties
V   14.8 A^3/atom
Crystal system   monoclinic
SG   C2/m
ΔH_f (0 K)   0.376 eV/atom
DOS(E_F)   13.226 states/eV per cell

a = 5.9778 Å, b = 5.9778 Å, c = 4.7093 Å
α = 97.37°, β = 97.37°, γ = 79.72°
Last column: nearest neighbours and their distance in Å.
Element x y z (fractional)
Co 0.2308 0.2308 0.2543  6 Ir 2.47-2.76, 2 Os 2.62
Co 0.7692 0.7692 0.7457  6 Ir 2.47-2.76, 2 Os 2.62
Ir 0.0000 0.0000 0.5000  2 Co 2.58, 4 Ir 2.66, 4 Os 2.71
Ir 0.0545 0.4159 0.7457  2 Co 2.47-2.69, 4 Ir 2.55-2.66, 2 Os 2.64-2.76
Ir 0.4159 0.0545 0.7457  2 Co 2.47-2.69, 4 Ir 2.55-2.66, 2 Os 2.64-2.76
Ir 0.4679 0.4679 0.7329  4 Ir 2.36-2.55
Ir 0.5321 0.5321 0.2671  4 Ir 2.36-2.55
Ir 0.5841 0.9455 0.2543  2 Co 2.47-2.69, 4 Ir 2.55-2.66, 2 Os 2.64-2.76
Ir 0.9455 0.5841 0.2543  2 Co 2.47-2.69, 4 Ir 2.55-2.66, 2 Os 2.64-2.76
Os 0.1739 0.8261 0.0000  2 Co 2.62, 8 Ir 2.64-2.79, 1 Os 2.67
Os 0.8261 0.1739 0.0000  2 Co 2.62, 8 Ir 2.64-2.79, 1 Os 2.67



This record from the Alexandria database describes a relaxed Co2IrOs crystal. The functional is PBE-GGA.

Properties
V   12.6 A^3/atom
Crystal system   orthorhombic
Energy above the lowest structure with this stoichiometry   57 meV/atom
SG   Cmmm
ΔH_f (0 K)   0.117 eV/atom
DOS(E_F)   5.258 states/eV per cell

a = 4.4804 Å, b = 4.4804 Å, c = 2.6310 Å
α = 90.00°, β = 90.00°, γ = 107.92°
Last column: nearest neighbours and their distance in Å.
Element x y z (fractional)
Co 0.0000 0.5000 0.0000  4 Os 2.60, 4 Ir 2.60, 4 Co 2.63-2.64
Co 0.5000 0.0000 0.0000  4 Os 2.60, 4 Ir 2.60, 4 Co 2.63-2.64
Ir 0.0000 0.0000 0.5000  8 Co 2.60, 2 Ir 2.63, 2 Os 2.64
Os 0.5000 0.5000 0.5000  8 Co 2.60, 2 Os 2.63, 2 Ir 2.64



This record from the Alexandria database describes a relaxed Co2IrOs crystal. The functional is PBE-GGA.

Properties
V   12.8 A^3/atom
Crystal system   monoclinic
Energy above the lowest structure with this stoichiometry   50 meV/atom
SG   C2/m
ΔH_f (0 K)   0.109 eV/atom
DOS(E_F)   4.853 states/eV per cell

a = 4.4578 Å, b = 4.4578 Å, c = 4.6111 Å
α = 99.60°, β = 99.60°, γ = 34.56°
Last column: nearest neighbours and their distance in Å.
Element x y z (fractional)
Co 0.2494 0.2494 0.2411  3 Os 2.57-2.58, 6 Co 2.59-2.73, 3 Ir 2.61-2.62
Co 0.7506 0.7506 0.7589  3 Os 2.57-2.58, 6 Co 2.59-2.73, 3 Ir 2.61-2.62
Ir 0.0000 0.0000 0.5000  6 Co 2.61-2.62, 2 Ir 2.65, 4 Os 2.66
Os 0.5000 0.5000 0.0000  6 Co 2.57-2.58, 2 Os 2.65, 4 Ir 2.66